P | Er2HfHg: optimized geometry, PBE-GGA.

a = 3.2906 Å, b = 3.2906 Å, c = 34.2713 Å
α = 90.00°, β = 90.00°, γ = 120.00°
Space group R-3m (No. 166, hexagonal axes)
Unique sites:
Er1 0.0000 0.0000 0.0923
Hf1 0.0000 0.0000 0.0000
Hg1 0.0000 0.0000 0.5000

Volume: 26.8 Å³ per atom

=====

Q | Er2HfHg: optimized geometry, PBE-GGA.

a = 3.418 Å, b = 3.418 Å, c = 8.738 Å
α = 90.00°, β = 90.00°, γ = 90.00°
Space group P4/mmm (No. 123)
Unique sites:
Er1 0.000 0.000 0.243
Hf1 0.500 0.500 0.500
Hg1 0.500 0.500 0.000

Volume: 25.5 Å³ per atom

=====

Of them, the most stable is Q and the least stable is P.

=====

P | Ho2ErHf: optimized geometry, PBE-GGA.

a = 3.4236 Å, b = 3.4236 Å, c = 33.2749 Å
α = 90.00°, β = 90.00°, γ = 120.00°
Space group R3m (No. 160, hexagonal axes)
Unique sites:
Ho1 0.0000 0.0000 0.0000
Ho2 0.0000 0.0000 0.1762
Er1 0.0000 0.0000 0.4216
Hf1 0.0000 0.0000 0.5879

Volume: 28.1 Å³ per atom

=====

Q | Ho2ErHf: optimized geometry, PBE-GGA.

a = 3.970 Å, b = 3.970 Å, c = 7.188 Å
α = 90.00°, β = 90.00°, γ = 90.00°
Space group P4/mmm (No. 123)
Unique sites:
Ho1 0.000 0.000 0.225
Er1 0.500 0.500 0.500
Hf1 0.500 0.500 0.000

Volume: 28.3 Å³ per atom

=====

Of them, the most stable is P and the least stable is Q.